Density functional theory data (PBE+U) for a relaxed structure of MnCr2AsO8.

Cell: 4.5067 4.5067 5.9159 Å, 90.00 90.00 91.08°
With the nearest neighbours (Å) after each atom.
Sites, in units of the cell vectors:
Mn  0.0000  0.0000  0.0000  6 O 1.91-1.95
Cr  0.5000  0.5000  0.2498  6 O 1.93-2.01
Cr  0.5000  0.5000  0.7502  6 O 1.93-2.01
As  0.0000  0.0000  0.5000  6 O 1.86-1.87
O  0.1878  0.8122  0.2596  1 As 1.87, 1 Mn 1.95, 1 Cr 2.01
O  0.1878  0.8122  0.7404  1 As 1.87, 1 Mn 1.95, 1 Cr 2.01
O  0.2951  0.2951  0.5000  1 As 1.86, 2 Cr 1.97
O  0.3026  0.3026  0.0000  1 Mn 1.91, 2 Cr 1.93
O  0.6974  0.6974  0.0000  1 Mn 1.91, 2 Cr 1.93
O  0.7049  0.7049  0.5000  1 As 1.86, 2 Cr 1.97
O  0.8122  0.1878  0.2596  1 As 1.87, 1 Mn 1.95, 1 Cr 2.01
O  0.8122  0.1878  0.7404  1 As 1.87, 1 Mn 1.95, 1 Cr 2.01

Output
VASP energy (eV/atom): -7.0394
Density (g/cm³): 5.002